Entry 1:
First-principles (PBE) data for crystalline TaSiPC2 at its relaxed geometry, as listed in the Alexandria database.

Geometry as POSCAR:
```
TaSiPC2
1.0
4.076 0.000 0.000
0.000 5.262 0.000
0.000 0.000 4.076
P C Si Ta
1 2 1 1
Cartesian
2.038 2.631 2.038
0.000 0.000 2.038
2.038 0.000 0.000
0.000 2.631 0.000
0.000 0.000 0.000
```

Results
* formation energy (no corrections): 1.7897 eV/atom
* SG: P4/mmm (123)

---

Entry 2:
First-principles (PBE) data for crystalline YSiP2C at its relaxed geometry, as listed in the Alexandria database.

Geometry as POSCAR:
```
YSiP2C
1.0
4.775 0.000 0.000
0.000 3.650 0.000
0.000 0.000 4.775
P C Y Si
2 1 1 1
Cartesian
2.388 0.000 0.000
0.000 0.000 2.388
0.000 1.825 0.000
2.388 1.825 2.388
0.000 0.000 0.000
```

Results
* formation energy (no corrections): 0.2845 eV/atom
* SG: P4/mmm (123)

---

Entry 3:
First-principles (PBE) data for crystalline ZrSiPC2 at its relaxed geometry, as listed in the Alexandria database.

Geometry as POSCAR:
```
ZrSiPC2
1.0
4.189 0.000 0.000
0.000 5.474 0.000
0.000 0.000 4.189
Si P C Zr
1 1 2 1
Cartesian
0.000 2.737 0.000
2.094 2.737 2.094
0.000 0.000 2.094
2.094 0.000 0.000
0.000 0.000 0.000
```

Results
* formation energy (no corrections): 2.0566 eV/atom
* SG: P4/mmm (123)

---

Entry 4:
First-principles (PBE) data for crystalline SmPC at its relaxed geometry, as listed in the Alexandria database.

Geometry as POSCAR:
```
SmPC
1.0
-2.954 0.947 -4.875
3.575 -1.884 0.893
-2.326 -6.879 0.074
P Sm C
2 2 2
Cartesian
-2.139 -4.975 -3.094
0.434 -2.842 -0.815
-0.700 -5.434 -0.631
-1.005 -2.382 -3.278
-1.659 -0.181 -2.454
-0.047 -7.636 -1.454
```

Results
* DFT formation energy: -0.37 eV per atom
* SG: C2/m (12)

---

Entry 5:
First-principles (PBE) data for crystalline Sm4Te2PC at its relaxed geometry, as listed in the Alexandria database.

Geometry as POSCAR:
```
Sm4Te2PC
1.0
4.075 0.000 0.000
0.000 7.113 0.139
0.000 -2.480 7.117
Te Sm P C
2 4 1 1
Cartesian
2.037 -1.240 3.558
0.000 2.317 3.628
2.037 1.311 1.489
2.037 3.322 5.766
0.000 4.604 1.514
0.000 0.029 5.742
0.000 0.000 0.000
2.037 3.556 0.069
```

Results
* formation energy (no corrections): -1.1762 eV/atom
* SG: P2/m (10)

---

Entry 6:
First-principles (PBE) data for crystalline SnP2C at its relaxed geometry, as listed in the Alexandria database.

Geometry as POSCAR:
```
SnP2C
1.0
-0.118 -2.174 3.906
0.120 2.291 3.838
-3.645 0.233 2.579
P C Sn
2 1 1
Cartesian
-2.732 0.262 7.743
-0.911 0.087 2.581
0.000 0.000 0.000
-1.821 0.175 5.162
```

Results
* DFT formation energy: 1.70 eV per atom
* energy above the lowest structure with this stoichiometry: 1.3550 eV per atom
* SG: Fm-3m (225)